# V3Cr2Re

A geometry-optimized V3Cr2Re structure (PBE, Alexandria via LeMat-Bulk).

Structure (POSCAR):
```
V3Cr2Re
1.0
2.964 0.000 0.000
0.000 2.964 0.000
0.000 0.000 8.866
V Cr Re
3 2 1
direct
0.000 0.000 0.000
0.000 0.000 0.325
0.000 0.000 0.675
0.500 0.500 0.163
0.500 0.500 0.837
0.500 0.500 0.500
```

E_form in meV/atom: -192
Volume in Å³ per atom: 13.0
Crystal system: tetragonal
Magnetic moment in μB per formula unit: 0.00
N(E_F) in states/eV per atom: 0.673